1.
K4HoTm3Te8 | PBE | relaxed

Properties
**Final energy**: -4.35 eV/atom
**Formation energy from raw total energies**: -1376.0 meV per atom
**Space-group type**: R-3m
**Calculated volume**: 567.3 Å³/cell

Lattice parameters (Å, degrees): 9.713 9.713 9.713 54.66 54.66 54.66
Fractional coordinates of all 16 atoms:
K  0.000  0.000  0.000
K  0.000  0.500  0.500
K  0.500  0.000  0.500
K  0.500  0.500  0.000
Ho  0.500  0.500  0.500
Tm  0.000  0.000  0.500
Tm  0.000  0.500  0.000
Tm  0.500  0.000  0.000
Te  0.234  0.736  0.736
Te  0.235  0.235  0.235
Te  0.264  0.264  0.766
Te  0.264  0.766  0.264
Te  0.736  0.234  0.736
Te  0.736  0.736  0.234
Te  0.765  0.765  0.765
Te  0.766  0.264  0.264

2.
RbGa2Ag | PBE | relaxed

Properties
**Final energy**: -2.41 eV/atom
**Space-group type**: P4/mmm
**Calculated volume**: 102.1 Å³/cell

Lattice parameters (Å, degrees): 3.510 3.510 8.289 90.00 90.00 90.00
Fractional coordinates of all 4 atoms:
Rb  0.000  0.000  0.000
Ga  0.500  0.500  0.327
Ga  0.500  0.500  0.673
Ag  0.000  0.000  0.500

3.
Y2SiPt | PBE | relaxed

Properties
**Final energy**: -6.94 eV/atom
**Formation energy from raw total energies**: -845.6 meV per atom
**Space-group type**: Imm2
**Calculated volume**: 88.6 Å³/cell

Lattice parameters (Å, degrees): 6.200 6.200 6.200 146.42 137.42 55.28
Fractional coordinates of all 4 atoms:
Y  0.000  0.000  0.000
Y  0.727  0.227  0.500
Si  0.421  0.421  0.000
Pt  0.256  0.756  0.500

4.
RbPa2PtO8 | PBE | relaxed

Properties
**Final energy**: -7.63 eV/atom
**Formation energy from raw total energies**: -2153.4 meV per atom
**Space-group type**: P-3m1
**Calculated volume**: 201.3 Å³/cell

Lattice parameters (Å, degrees): 5.484 5.484 7.731 90.00 90.00 120.00
Fractional coordinates of all 12 atoms:
Rb  0.000  0.000  0.000
Pa  0.333  0.667  0.388
Pa  0.667  0.333  0.612
Pt  0.000  0.000  0.500
O  0.180  0.360  0.629
O  0.180  0.820  0.629
O  0.333  0.667  0.146
O  0.360  0.180  0.371
O  0.640  0.820  0.629
O  0.667  0.333  0.854
O  0.820  0.180  0.371
O  0.820  0.640  0.371

5.
Ni3AgCl | PBE | relaxed

Properties
**Excess energy over the best structure of this formula in the dataset**: 883 meV/atom
**Final energy**: -3.05 eV/atom
**Formation energy from raw total energies**: 1362.2 meV per atom
**Space-group type**: Pm-3m
**Calculated volume**: 106.3 Å³/cell

Lattice parameters (Å, degrees): 4.738 4.738 4.738 90.00 90.00 90.00
Fractional coordinates of all 5 atoms:
Ni  0.000  0.000  0.500
Ni  0.000  0.500  0.000
Ni  0.500  0.000  0.000
Ag  0.000  0.000  0.000
Cl  0.500  0.500  0.500

6.
LuCoNiPb | PBE | relaxed

Properties
**Final energy**: -5.41 eV/atom
**Space-group type**: F-43m
**Calculated volume**: 68.5 Å³/cell

Lattice parameters (Å, degrees): 4.592 4.592 4.592 60.00 60.00 60.00
Fractional coordinates of all 4 atoms:
Lu  0.000  0.000  0.000
Co  0.750  0.750  0.750
Ni  0.250  0.250  0.250
Pb  0.500  0.500  0.500

7.
LaDyPb | PBE | relaxed

Properties
**Excess energy over the best structure of this formula in the dataset**: 214 meV/atom
**Final energy**: -4.69 eV/atom
**Space-group type**: P3m1
**Calculated volume**: 100.3 Å³/cell

Lattice parameters (Å, degrees): 5.229 5.229 4.236 90.00 90.00 120.00
Fractional coordinates of all 3 atoms:
La  0.000  0.000  0.000
Dy  0.333  0.667  0.502
Pb  0.667  0.333  0.496

8.
Rb2B2F7 | PBE | relaxed

Properties
**Final energy**: -5.16 eV/atom
**Formation energy from raw total energies**: -2578.6 meV per atom
**Space-group type**: C2/m
**Calculated volume**: 213.3 Å³/cell

Lattice parameters (Å, degrees): 6.667 6.667 4.864 93.44 93.44 97.91
Fractional coordinates of all 11 atoms:
Rb  0.201  0.799  0.000
Rb  0.799  0.201  0.000
B  0.319  0.319  0.533
B  0.681  0.681  0.467
F  0.181  0.412  0.678
F  0.254  0.254  0.264
F  0.412  0.181  0.678
F  0.500  0.500  0.500
F  0.588  0.819  0.322
F  0.746  0.746  0.736
F  0.819  0.588  0.322